[1]
This record from Alexandria describes crystalline Na4Dy3PuTe8 at its relaxed geometry. The functional is PBE.

Cell: 9.1261 9.1261 9.1261 Å, 58.34 58.34 58.34°
Last column: nearest neighbours and their distance in Å.
Element x y z (fractional)
Na1 0.0000 0.0000 0.0000  6 Te 3.24
Na2 0.0000 0.5000 0.5000  6 Te 3.27-3.28
Na3 0.5000 0.0000 0.5000  6 Te 3.27-3.28
Na4 0.5000 0.5000 0.0000  6 Te 3.27-3.28
Dy1 0.0000 0.0000 0.5000  6 Te 3.10-3.11
Dy2 0.0000 0.5000 0.0000  6 Te 3.10-3.11
Dy3 0.5000 0.0000 0.0000  6 Te 3.10-3.11
Pu1 0.5000 0.5000 0.5000  6 Te 3.14
Te1 0.2404 0.7463 0.7463  2 Dy 3.10, 1 Pu 3.14, 3 Na 3.24-3.28
Te2 0.2440 0.2440 0.2440  3 Dy 3.11, 3 Na 3.27
Te3 0.2537 0.2537 0.7596  2 Dy 3.10, 1 Pu 3.14, 3 Na 3.24-3.28
Te4 0.2537 0.7596 0.2537  2 Dy 3.10, 1 Pu 3.14, 3 Na 3.24-3.28
Te5 0.7463 0.2404 0.7463  2 Dy 3.10, 1 Pu 3.14, 3 Na 3.24-3.28
Te6 0.7463 0.7463 0.2404  2 Dy 3.10, 1 Pu 3.14, 3 Na 3.24-3.28
Te7 0.7560 0.7560 0.7560  3 Dy 3.11, 3 Na 3.27
Te8 0.7596 0.2537 0.2537  2 Dy 3.10, 1 Pu 3.14, 3 Na 3.24-3.28

* DFT total energy: -4.897 eV per atom
* E_form (uncorrected): -1.237 eV/atom
* crystal system: trigonal

[2]
This record from Alexandria describes crystalline KPmPb2 at its relaxed geometry. The functional is PBE.

Cell: 4.2118 4.2118 8.0083 Å, 90.00 90.00 90.00°
Last column: nearest neighbours and their distance in Å.
Element x y z (fractional)
K1 0.0000 0.0000 0.0000  8 Pb 3.84, 2 Pm 4.00, 4 K 4.21
Pm1 0.0000 0.0000 0.5000  8 Pb 3.37
Pb1 0.5000 0.5000 0.3028  1 Pb 3.16, 4 Pm 3.37
Pb2 0.5000 0.5000 0.6972  1 Pb 3.16, 4 Pm 3.37

* DFT total energy: -3.636 eV per atom
* crystal system: tetragonal
* energy relative to the elements: -0.320 eV per atom

[3]
This record from Alexandria describes crystalline RbHfAsBr2 at its relaxed geometry. The functional is PBE.

Cell: 5.4980 5.4980 5.1653 Å, 90.00 90.00 90.00°
Last column: nearest neighbours and their distance in Å.
Element x y z (fractional)
Rb1 0.0000 0.0000 0.0000  8 Br 3.77, 4 As 3.89
Hf1 0.5000 0.5000 0.5000  2 As 2.58, 4 Br 2.75
As1 0.5000 0.5000 0.0000  2 Hf 2.58
Br1 0.0000 0.5000 0.5000  2 Hf 2.75
Br2 0.5000 0.0000 0.5000  2 Hf 2.75

* relative energy among the computed polymorphs: 0 meV/atom
* DFT total energy: -4.713 eV per atom
* E_form (uncorrected): -0.930 eV/atom
* crystal system: tetragonal

[4]
This record from Alexandria describes crystalline ZrIrW2 at its relaxed geometry. The functional is PBE.

Cell: 2.8073 4.6989 5.2009 Å, 90.00 100.36 90.00°
Last column: nearest neighbours and their distance in Å.
Element x y z (fractional)
Zr1 0.0000 0.0000 0.0000  2 Ir 2.72, 2 Zr 2.81, 4 W 2.83
Ir1 0.5000 0.0000 0.5000  2 Zr 2.72, 2 Ir 2.81, 4 W 2.83
W1 0.2540 0.5000 0.7513  4 W 2.70-2.81, 2 Ir 2.83, 2 Zr 2.83
W2 0.7460 0.5000 0.2487  4 W 2.70-2.81, 2 Ir 2.83, 2 Zr 2.83

* relative energy among the computed polymorphs: 134 meV/atom
* DFT total energy: -10.823 eV per atom
* crystal system: monoclinic
* energy relative to the elements: 0.005 eV per atom